Below is a relaxed SrTa2Bi2O9 crystal, with properties calculated at the GGA-PBEsol level.

The structure belongs to space group Cmc2_1 (No. 36); the cell edges are 30.016, 5.549 and 5.535 Å and the angles 90.00°, 90.00° and 90.00°. Symmetry generates all atoms from Sr at (0.000, 0.245, 0.000), Ta at (0.069, 0.253, 0.500), Bi at (0.199, 0.270, 0.553), O at (0.000, 0.210, 0.501), O at (0.056, 0.499, 0.250), O at (0.068, 0.001, 0.751), O at (0.131, 0.314, 0.501) and O at (0.217, 0.385, 0.199).

For the density of states at the Fermi level, the calculation gives 0.00 states/eV per cell. The total energy is -8.2232 eV/atom. As for the crystal system: orthorhombic.